[1]
GdTlCdBi | PBE | relaxed

As for the calculated density: 9.67 Mg/m³. The calculation puts the volume at 29.3 Å³ per atom. The calculation puts the raw total energy at -88.4 eV/cell.

The structure belongs to space group F-43m (No. 216); the cell edges are 7.7710, 7.7710 and 7.7710 Å and the angles 90.00°, 90.00° and 90.00°. The asymmetric unit holds Gd at (0.0000, 0.0000, 0.0000), Tl at (0.0000, 0.0000, 0.5000), Cd at (0.2500, 0.2500, 0.7500) and Bi at (0.2500, 0.2500, 0.2500).

[2]
GdYCdBi | PBE | relaxed

As for the calculated density: 8.36 Mg/m³. The calculation puts the volume at 28.2 Å³ per atom. The calculation puts the raw total energy at -108.7 eV/cell.

The structure belongs to space group F-43m (No. 216); the cell edges are 7.6693, 7.6693 and 7.6693 Å and the angles 90.00°, 90.00° and 90.00°. The asymmetric unit holds Gd at (0.0000, 0.0000, 0.0000), Y at (0.0000, 0.0000, 0.5000), Cd at (0.2500, 0.2500, 0.2500) and Bi at (0.2500, 0.2500, 0.7500).

[3]
CdGe2Bi2 | PBE | relaxed

As for the calculated density: 8.17 Mg/m³. The calculation puts the volume at 27.5 Å³ per atom. The calculation puts the raw total energy at -33.0 eV/cell. The distance to the lowest polymorph of the same formula is 45 meV per atom.

The structure belongs to space group P4/mbm (No. 127); the cell edges are 8.4771, 8.4771 and 3.8235 Å and the angles 90.00°, 90.00° and 90.00°. The asymmetric unit holds Cd at (0.0000, 0.0000, 0.0000), Ge at (0.1288, 0.3712, 0.5000) and Bi at (0.1558, 0.6558, 0.0000).

[4]
CdGeBi2 | PBE | relaxed

As for the calculated density: 9.21 Mg/m³. The calculation puts the volume at 27.2 Å³ per atom. The calculation puts the raw total energy at -12.5 eV/cell.

The structure belongs to space group P4/mmm (No. 123); the cell edges are 3.8492, 3.8492 and 7.3413 Å and the angles 90.00°, 90.00° and 90.00°. The asymmetric unit holds Cd at (0.0000, 0.0000, 0.0000), Ge at (0.0000, 0.0000, 0.5000) and Bi at (0.5000, 0.5000, 0.2748).

[5]
CdGe2Bi | PBE | relaxed

As for the calculated density: 6.12 Mg/m³. The calculation puts the volume at 31.7 Å³ per atom. The calculation puts the raw total energy at -51.7 eV/cell. The distance to the lowest polymorph of the same formula is 0 meV per atom.

The structure belongs to space group I-42d (No. 122); the cell edges are 6.4393, 6.4393 and 12.2230 Å and the angles 90.00°, 90.00° and 90.00°. The asymmetric unit holds Cd at (0.0000, 0.0000, 0.0000), Ge at (0.2345, 0.2500, 0.1250) and Bi at (0.0000, 0.0000, 0.5000).

[6]
CdGe2Bi2 | PBE | relaxed

As for the calculated density: 8.50 Mg/m³. The calculation puts the volume at 26.4 Å³ per atom. The calculation puts the raw total energy at -33.4 eV/cell. The distance to the lowest polymorph of the same formula is 4 meV per atom.

The structure belongs to space group P4/mbm (No. 127); the cell edges are 8.2691, 8.2691 and 3.8601 Å and the angles 90.00°, 90.00° and 90.00°. The asymmetric unit holds Cd at (0.0000, 0.0000, 0.0000), Ge at (0.1286, 0.3714, 0.0000) and Bi at (0.1609, 0.6609, 0.5000).

[7]
CdGeBi2 | PBE | relaxed

As for the calculated density: 9.33 Mg/m³. The calculation puts the volume at 26.8 Å³ per atom. The calculation puts the raw total energy at -12.5 eV/cell.

The structure belongs to space group P4/mmm (No. 123); the cell edges are 5.0857, 5.0857 and 4.1496 Å and the angles 90.00°, 90.00° and 90.00°. The asymmetric unit holds Cd at (0.0000, 0.0000, 0.0000), Ge at (0.5000, 0.5000, 0.0000) and Bi at (0.0000, 0.5000, 0.5000).

[8]
Cd2GeBi2 | PBE | relaxed

As for the calculated density: 8.46 Mg/m³. The calculation puts the volume at 28.1 Å³ per atom. The calculation puts the raw total energy at -26.2 eV/cell. The distance to the lowest polymorph of the same formula is 0 meV per atom.

The structure belongs to space group I4/mmm (No. 139); the cell edges are 4.0294, 4.0294 and 17.3027 Å and the angles 90.00°, 90.00° and 90.00°. The asymmetric unit holds Cd at (0.0000, 0.5000, 0.2500), Ge at (0.0000, 0.0000, 0.0000) and Bi at (0.0000, 0.0000, 0.4090).